# BaYCr4O7 PBE with a Hubbard U relaxed
# Crystal system = hexagonal
# Energy = -7.583 eV/atom
# Spin magnetization = 1.154 μB/atom
data_BaYCr4O7
_space_group_name_H-M_alt 'P 63 m c'
_space_group_IT_number 186
_space_group_name_Hall 'P 6c -2c'
_cell_length_a 6.3569
_cell_length_b 6.3569
_cell_length_c 11.0874
_cell_angle_alpha 90.00
_cell_angle_beta 90.00
_cell_angle_gamma 120.00
loop_
_atom_site_label
_atom_site_type_symbol
_atom_site_fract_x
_atom_site_fract_y
_atom_site_fract_z
_atom_site_occupancy
Ba1 Ba 0.3333 0.6667 0.0000 1
Y1 Y 0.3333 0.6667 0.4069 1
Cr1 Cr 0.0000 0.0000 0.4585 1
Cr2 Cr 0.1768 0.3536 0.7099 1
O1 O 0.0000 0.0000 0.2645 1
O2 O 0.0233 0.5117 0.8102 1
O3 O 0.1602 0.3204 0.5316 1